This record from Alexandria describes a relaxed SrMg6FeO8 crystal. The functional is PBE with a Hubbard U.

Cell: 4.5053 4.5053 8.7055 Å, 90.00 90.00 90.00°
Each line ends with the local moment (μB).
Fractional positions:
1 O 0.0000 0.5000 0.0000  0.04
2 O 0.5000 0.5000 0.2735  0.00
3 O 0.0000 0.5000 0.5000  0.00
4 Mg 0.0000 0.5000 0.7399  0.00
5 Mg 0.5000 0.0000 0.2601  0.00
6 O 0.5000 0.5000 0.7265  0.00
7 O 0.5000 0.0000 0.0000  0.04
8 Fe 0.0000 0.0000 0.0000  3.77
9 O 0.5000 0.0000 0.5000  0.00
10 Mg 0.5000 0.0000 0.7399  0.00
11 O 0.0000 0.0000 0.7468  0.03
12 Sr 0.5000 0.5000 0.0000  0.00
13 Mg 0.0000 0.5000 0.2601  0.00
14 Mg 0.5000 0.5000 0.5000  0.00
15 Mg 0.0000 0.0000 0.5000  0.00
16 O 0.0000 0.0000 0.2532  0.03

* final energy: -94.5 eV for the cell shown
* total moment: 4.0 μB/f.u.
* relative energy among the computed polymorphs: 0.0 kJ/mol of atoms